1.
The following is a DFT calculation (GGA-PBE) of crystalline LiSi2 at its relaxed geometry.

a b c (Å): 6.5457 3.7859 4.9755
angles (deg): 90.00 116.41 90.00
Fractional positions:
Li  0.0000  0.0000  0.0000
Li  0.5000  0.5000  0.0000
Si  0.2004  0.0000  0.5998
Si  0.2996  0.5000  0.4002
Si  0.7004  0.5000  0.5998
Si  0.7996  0.0000  0.4002

Raw total energy ... -4.28 eV per atom


2.
The following is a DFT calculation (GGA-PBE) of crystalline TbPu2Pd3 at its relaxed geometry.

a b c (Å): 3.4757 3.4757 10.8527
angles (deg): 90.00 90.00 90.00
Fractional positions:
Tb  0.0000  0.0000  0.0000
Pu  0.0000  0.0000  0.3343
Pu  0.0000  0.0000  0.6657
Pd  0.5000  0.5000  0.1569
Pd  0.5000  0.5000  0.5000
Pd  0.5000  0.5000  0.8431

ΔH_f (0 K) ... -0.56 eV/atom


3.
The following is a DFT calculation (GGA-PBE) of crystalline CuTcPt14 at its relaxed geometry.

a b c (Å): 5.6026 5.6026 7.8493
angles (deg): 90.00 90.00 90.00
Fractional positions:
Cu  0.0000  0.0000  0.0000
Tc  0.5000  0.5000  0.0000
Pt  0.0000  0.0000  0.5000
Pt  0.0000  0.5000  0.0000
Pt  0.0000  0.5000  0.5000
Pt  0.2509  0.2509  0.2430
Pt  0.2509  0.2509  0.7570
Pt  0.2509  0.7491  0.2430
Pt  0.2509  0.7491  0.7570
Pt  0.5000  0.0000  0.0000
Pt  0.5000  0.0000  0.5000
Pt  0.5000  0.5000  0.5000
Pt  0.7491  0.2509  0.2430
Pt  0.7491  0.2509  0.7570
Pt  0.7491  0.7491  0.2430
Pt  0.7491  0.7491  0.7570

ΔH_f (0 K) ... -0.08 eV/atom


4.
The following is a DFT calculation (GGA-PBE) of crystalline TlReSi2 at its relaxed geometry.

a b c (Å): 6.4728 6.4728 6.4728
angles (deg): 90.00 90.00 90.00
Fractional positions:
Tl  0.0000  0.0000  0.0000
Tl  0.0000  0.5000  0.5000
Tl  0.5000  0.0000  0.5000
Tl  0.5000  0.5000  0.0000
Re  0.0000  0.0000  0.5000
Re  0.0000  0.5000  0.0000
Re  0.5000  0.0000  0.0000
Re  0.5000  0.5000  0.5000
Si  0.2500  0.2500  0.2500
Si  0.2500  0.2500  0.7500
Si  0.2500  0.7500  0.2500
Si  0.2500  0.7500  0.7500
Si  0.7500  0.2500  0.2500
Si  0.7500  0.2500  0.7500
Si  0.7500  0.7500  0.2500
Si  0.7500  0.7500  0.7500

Raw total energy ... -5.49 eV per atom


5.
The following is a DFT calculation (GGA-PBE) of crystalline Pu2PbN at its relaxed geometry.

a b c (Å): 3.1553 3.1553 8.2195
angles (deg): 90.00 90.00 90.00
Fractional positions:
Pu  0.0000  0.0000  0.1741
Pu  0.0000  0.0000  0.8259
Pb  0.5000  0.5000  0.5000
N  0.5000  0.5000  0.0000

Raw total energy ... -10.55 eV per atom


6.
The following is a DFT calculation (GGA-PBE) of crystalline Li2PmHo at its relaxed geometry.

a b c (Å): 3.3375 3.3375 35.6085
angles (deg): 90.00 90.00 120.00
Fractional positions:
Li  0.0000  0.0000  0.0874
Li  0.0000  0.0000  0.9126
Li  0.3333  0.6667  0.5793
Li  0.3333  0.6667  0.7541
Li  0.6667  0.3333  0.2459
Li  0.6667  0.3333  0.4207
Pm  0.0000  0.0000  0.5000
Pm  0.3333  0.6667  0.1667
Pm  0.6667  0.3333  0.8333
Ho  0.0000  0.0000  0.0000
Ho  0.3333  0.6667  0.6667
Ho  0.6667  0.3333  0.3333

ΔH_f (0 K) ... 0.29 eV/atom


7.
The following is a DFT calculation (GGA-PBE) of crystalline Tb3PmEr2 at its relaxed geometry.

a b c (Å): 11.1370 11.1370 11.3158
angles (deg): 120.52 120.52 18.78
Fractional positions:
Tb  0.0550  0.0550  0.1786
Tb  0.2779  0.2779  0.6551
Tb  0.3877  0.3877  0.0142
Tb  0.6123  0.6123  0.9858
Tb  0.7221  0.7221  0.3449
Tb  0.9450  0.9450  0.8214
Pm  0.3892  0.3892  0.5130
Pm  0.6108  0.6108  0.4870
Er  0.0568  0.0568  0.6829
Er  0.2775  0.2775  0.1506
Er  0.7225  0.7225  0.8494
Er  0.9432  0.9432  0.3171

ΔH_f (0 K) ... 0.01 eV/atom


8.
The following is a DFT calculation (GGA-PBE) of crystalline La14PrTh at its relaxed geometry.

a b c (Å): 7.4030 7.4030 10.5100
angles (deg): 90.00 90.00 90.00
Fractional positions:
La  0.0000  0.0000  0.0000
La  0.0000  0.5000  0.0000
La  0.0000  0.5000  0.5000
La  0.2434  0.2434  0.2542
La  0.2434  0.2434  0.7458
La  0.2434  0.7566  0.2542
La  0.2434  0.7566  0.7458
La  0.5000  0.0000  0.0000
La  0.5000  0.0000  0.5000
La  0.5000  0.5000  0.0000
La  0.7566  0.2434  0.2542
La  0.7566  0.2434  0.7458
La  0.7566  0.7566  0.2542
La  0.7566  0.7566  0.7458
Pr  0.5000  0.5000  0.5000
Th  0.0000  0.0000  0.5000

ΔH_f (0 K) ... 0.01 eV/atom


9.
The following is a DFT calculation (GGA-PBE) of crystalline LaReN2 at its relaxed geometry.

a b c (Å): 5.8787 5.8787 5.8787
angles (deg): 90.00 90.00 90.00
Fractional positions:
La  0.0000  0.0000  0.0000
La  0.0000  0.5000  0.5000
La  0.5000  0.0000  0.5000
La  0.5000  0.5000  0.0000
Re  0.0000  0.0000  0.5000
Re  0.0000  0.5000  0.0000
Re  0.5000  0.0000  0.0000
Re  0.5000  0.5000  0.5000
N  0.2500  0.2500  0.2500
N  0.2500  0.2500  0.7500
N  0.2500  0.7500  0.2500
N  0.2500  0.7500  0.7500
N  0.7500  0.2500  0.2500
N  0.7500  0.2500  0.7500
N  0.7500  0.7500  0.2500
N  0.7500  0.7500  0.7500

Raw total energy ... -8.21 eV per atom


10.
The following is a DFT calculation (GGA-PBE) of crystalline SrTeSe4 at its relaxed geometry.

a b c (Å): 5.9406 5.9406 5.9406
angles (deg): 60.00 60.00 60.00
Fractional positions:
Sr  0.0000  0.0000  0.0000
Te  0.7500  0.7500  0.7500
Se  0.3749  0.3749  0.3749
Se  0.3749  0.3749  0.8754
Se  0.3749  0.8754  0.3749
Se  0.8754  0.3749  0.3749

Raw total energy ... -3.27 eV per atom


11.
The following is a DFT calculation (GGA-PBE) of crystalline SrMgFeSn2 at its relaxed geometry.

a b c (Å): 5.8723 5.8723 5.8147
angles (deg): 90.00 90.00 90.00
Fractional positions:
Sr  0.0000  0.0000  0.0000
Mg  0.0000  0.0000  0.5000
Fe  0.5000  0.5000  0.5000
Sn  0.0000  0.5000  0.0000
Sn  0.5000  0.0000  0.0000

ΔH_f (0 K) ... 1.53 eV/atom


Computed DOS at the Fermi energy (states/eV/f.u.) in order:
0.97, 19.82, 22.83, 4.34, 9.58, 3.48, 9.81, 29.46, 0.00, 5.89, 9.67